[1]
The following is a PBE calculation of a relaxed structure of Ge2SBrCl, from Alexandria via LeMat-Bulk. Values from VASP.

Cell and atoms, written as Quantum ESPRESSO input:
```
&SYSTEM
  ibrav = 0, nat = 5, ntyp = 4
/
ATOMIC_SPECIES
S 32.06 S.upf
Ge 72.64 Ge.upf
Cl 35.45 Cl.upf
Br 79.90 Br.upf
CELL_PARAMETERS angstrom
-4.110 -2.783 1.320
1.396 0.215 4.799
-2.727 4.311 0.600
ATOMIC_POSITIONS crystal
S 0.000 0.000 0.000
Ge 0.500 0.000 0.000
Cl 0.000 0.500 0.000
Br 0.500 0.500 0.500
Ge 0.000 0.000 0.500
```

Summary:
For the energy relative to the elements, uncorrected, the calculation gives 1.537 eV/f.u. Its symmetry is P4/mmm, No. 123.

[2]
The following is a PBE calculation of a relaxed structure of Sr2Cu3O5, from Alexandria via LeMat-Bulk. Values from VASP.

Cell and atoms, written as Quantum ESPRESSO input:
```
&SYSTEM
  ibrav = 0, nat = 10, ntyp = 3
/
ATOMIC_SPECIES
O 16.00 O.upf
Cu 63.55 Cu.upf
Sr 87.62 Sr.upf
CELL_PARAMETERS angstrom
-6.782 0.409 6.953
-2.435 -1.347 9.315
5.022 3.033 -7.751
ATOMIC_POSITIONS crystal
O 0.719 0.219 0.500
O 0.281 0.781 0.500
O 0.104 0.104 0.000
Cu 0.000 0.000 0.000
Cu 0.788 0.788 0.000
Cu 0.212 0.212 0.000
Sr 0.606 0.606 0.000
O 0.896 0.896 0.000
Sr 0.394 0.394 0.000
O 0.500 0.000 0.500
```

Summary:
For the polymorph energy (0 for the lowest one), the calculation gives 44 meV/atom. For the energy relative to the elements, uncorrected, the calculation gives -14.408 eV/f.u. Its symmetry is Immm, No. 71.

[3]
The following is a PBE calculation of a relaxed structure of YMg3, from Alexandria via LeMat-Bulk. Values from VASP.

Cell and atoms, written as Quantum ESPRESSO input:
```
&SYSTEM
  ibrav = 0, nat = 4, ntyp = 2
/
ATOMIC_SPECIES
Mg 24.30 Mg.upf
Y 88.91 Y.upf
CELL_PARAMETERS angstrom
6.354 0.000 0.000
0.000 6.354 0.000
0.000 0.000 6.354
ATOMIC_POSITIONS crystal
Mg 0.000 0.000 0.500
Mg 0.000 0.500 0.000
Y 0.000 0.000 0.000
Mg 0.500 0.000 0.000
```

Summary:
The value obtained for the final energy is -1.63 eV per atom. Its symmetry is Pm-3m, No. 221.

[4]
The following is a PBE calculation of a relaxed structure of SiTePb2, from Alexandria via LeMat-Bulk. Values from VASP.

Cell and atoms, written as Quantum ESPRESSO input:
```
&SYSTEM
  ibrav = 0, nat = 8, ntyp = 3
/
ATOMIC_SPECIES
Pb 207.20 Pb.upf
Si 28.09 Si.upf
Te 127.60 Te.upf
CELL_PARAMETERS angstrom
7.132 0.000 0.000
0.000 7.132 0.000
3.566 3.566 6.071
ATOMIC_POSITIONS crystal
Pb 0.166 0.625 0.250
Si 0.500 0.500 0.000
Te 0.750 0.250 0.500
Pb 0.875 0.834 0.750
Pb 0.584 0.125 0.250
Te 0.000 0.000 0.000
Si 0.250 0.750 0.500
Pb 0.375 0.416 0.750
```

Summary:
For the polymorph energy (0 for the lowest one), the calculation gives 135 meV/atom. For the energy relative to the elements, uncorrected, the calculation gives 1.215 eV/f.u. Its symmetry is I-42d, No. 122.

[5]
The following is a PBE calculation of a relaxed structure of PmSnS, from Alexandria via LeMat-Bulk. Values from VASP.

Cell and atoms, written as Quantum ESPRESSO input:
```
&SYSTEM
  ibrav = 0, nat = 6, ntyp = 3
/
ATOMIC_SPECIES
Sn 118.71 Sn.upf
Pm 145.00 Pm.upf
S 32.06 S.upf
CELL_PARAMETERS angstrom
-1.424 2.700 2.076
-2.142 -3.255 -0.518
5.350 -5.175 10.404
ATOMIC_POSITIONS crystal
Sn 0.686 0.372 0.310
Pm 0.389 0.778 0.500
S 0.195 0.389 0.866
Pm 0.516 0.032 0.000
S 0.195 0.389 0.134
Sn 0.686 0.372 0.690
```

Summary:
For the energy relative to the elements, uncorrected, the calculation gives -2.318 eV/f.u. Its symmetry is Amm2, No. 38.

[6]
The following is a PBE calculation of a relaxed structure of LiAs2Pd3, from Alexandria via LeMat-Bulk. Values from VASP.

Cell and atoms, written as Quantum ESPRESSO input:
```
&SYSTEM
  ibrav = 0, nat = 6, ntyp = 3
/
ATOMIC_SPECIES
Pd 106.42 Pd.upf
As 74.92 As.upf
Li 6.94 Li.upf
CELL_PARAMETERS angstrom
3.029 0.000 -0.958
0.000 4.134 0.000
0.655 0.000 7.339
ATOMIC_POSITIONS crystal
Pd 0.335 0.000 0.671
As 0.142 0.500 0.283
Pd 0.500 0.500 0.000
Li 0.000 0.000 0.000
As 0.858 0.500 0.717
Pd 0.665 0.000 0.329
```

Summary:
For the polymorph energy (0 for the lowest one), the calculation gives 46 meV/atom. Its symmetry is Cmmm, No. 65.